4
Lattice="4.2581 0.0000 0.0000 0.0000 3.7129 -0.0024 0.0000 1.8067 4.8399" Properties=species:S:1:pos:R:3 comment="GGA-PBE Al2TlIr, relaxed" total_energy_ev_per_atom=-4.721 crystal_system=monoclinic e_form_ev_per_atom=-0.0427 pbc="T T T"
Tl 2.1290 3.9333 3.3423
Ir 0.0000 2.0650 2.3120
Al 0.0000 0.2132 0.4796
Al 2.1290 2.0679 1.1223

=====

4
Lattice="3.0279 0.0000 0.0000 0.0000 3.0178 0.0352 0.0000 2.7507 7.1091" Properties=species:S:1:pos:R:3 comment="GGA-PBE AlTlIr2, relaxed" total_energy_ev_per_atom=-6.140 e_above_lowest_polymorph_mev_per_atom=0.0 crystal_system=monoclinic e_form_ev_per_atom=-0.1824 pbc="T T T"
Tl 1.5140 1.4421 1.7861
Ir 0.0000 2.8164 6.8263
Ir 0.0000 2.8185 3.8550
Al 1.5140 4.3264 5.3582

=====

4
Lattice="-3.8282 1.6315 -5.7314 0.7190 -0.2320 -7.0423 -0.1371 -2.5874 6.5918" Properties=species:S:1:pos:R:3 comment="GGA-PBE Al2TlIr, relaxed" total_energy_ev_per_atom=-4.902 crystal_system=orthorhombic e_form_ev_per_atom=-0.2239 pbc="T T T"
Tl -0.6638 -0.9799 -4.1478
Ir -1.6095 0.7245 -6.6124
Al -0.0091 0.0041 -0.0373
Al -2.5185 -0.2367 -1.7712

=====

Record-wise M_tot values, in μB per formula unit: 0.0; 0.0; 0.0